1.
A plane-wave DFT calculation with GGA-PBE was carried out for an optimized crystal structure of SmEr2Zn.

Output
Calculated formation energy in eV per formula unit: -0.11
Offset from the most stable computed form in meV/atom: 137
Uncorrected energy in eV per atom: -3.8081

Lattice parameters (Å, degrees): 4.7374 4.7374 4.7482 90.00 90.00 90.00
Closest atoms and distances in Å follow each position.
Fractional positions:
Sm1 0.0000 0.0000 0.0000  4 Zn 3.35, 8 Er 3.35
Er1 0.0000 0.5000 0.5000  4 Er 3.35, 4 Sm 3.35, 4 Zn 3.35
Er2 0.5000 0.0000 0.5000  4 Er 3.35, 4 Sm 3.35, 4 Zn 3.35
Zn1 0.5000 0.5000 0.0000  4 Sm 3.35, 8 Er 3.35

=====

2.
A plane-wave DFT calculation with GGA-PBE was carried out for an optimized crystal structure of SmEr4Zn.

Output
Calculated formation energy in eV per formula unit: -0.58
Offset from the most stable computed form in meV/atom: 0
Uncorrected energy in eV per atom: -4.1380

Lattice parameters (Å, degrees): 3.5341 3.5341 13.6302 90.00 90.00 90.00
Closest atoms and distances in Å follow each position.
Fractional positions:
Sm1 0.0000 0.0000 0.0000  4 Sm 3.53, 8 Er 3.56
Er1 0.0000 0.0000 0.3710  4 Zn 3.06
Er2 0.0000 0.0000 0.6290  4 Zn 3.06
Er3 0.5000 0.5000 0.1858  8 Er 3.53-3.55, 4 Sm 3.56
Er4 0.5000 0.5000 0.8142  8 Er 3.53-3.55, 4 Sm 3.56
Zn1 0.5000 0.5000 0.5000  8 Er 3.06

=====

3.
A plane-wave DFT calculation with GGA-PBE was carried out for an optimized crystal structure of SmEr6Zn2.

Output
Calculated formation energy in eV per formula unit: -1.27
Uncorrected energy in eV per atom: -3.9904

Lattice parameters (Å, degrees): 6.4371 6.4371 11.6663 108.00 108.00 32.45
Closest atoms and distances in Å follow each position.
Fractional positions:
Sm1 0.0000 0.0000 0.0000  4 Zn 3.14
Er1 0.0221 0.0221 0.3328  2 Zn 3.04
Er2 0.3098 0.3098 0.1258  2 Zn 3.05, 3 Er 3.33-3.35
Er3 0.3135 0.3135 0.4126  2 Zn 3.12, 4 Er 3.33-3.45
Er4 0.6865 0.6865 0.5874  2 Zn 3.12, 4 Er 3.33-3.45
Er5 0.6902 0.6902 0.8742  2 Zn 3.05, 3 Er 3.33-3.35
Er6 0.9779 0.9779 0.6672  2 Zn 3.04
Zn1 0.3484 0.3484 0.7887  6 Er 3.04-3.12, 2 Sm 3.14
Zn2 0.6516 0.6516 0.2113  6 Er 3.04-3.12, 2 Sm 3.14

=====

4.
A plane-wave DFT calculation with GGA-PBE was carried out for an optimized crystal structure of SmEr2Zn.

Output
Calculated formation energy in eV per formula unit: -0.30
Offset from the most stable computed form in meV/atom: 91
Uncorrected energy in eV per atom: -3.8540

Lattice parameters (Å, degrees): 10.4862 10.4862 10.4862 19.51 19.51 19.51
Closest atoms and distances in Å follow each position.
Fractional positions:
Sm1 0.0000 0.0000 0.0000  6 Sm 3.55, 6 Er 3.57
Er1 0.2385 0.2385 0.2385  3 Zn 3.02
Er2 0.7615 0.7615 0.7615  3 Zn 3.02
Zn1 0.5000 0.5000 0.5000  6 Er 3.02

=====

5.
A plane-wave DFT calculation with GGA-PBE was carried out for an optimized crystal structure of SmEr4Zn4.

Output
Calculated formation energy in eV per formula unit: -1.27
Uncorrected energy in eV per atom: -3.2593

Lattice parameters (Å, degrees): 7.1399 7.1399 7.1399 97.18 97.18 138.59
Closest atoms and distances in Å follow each position.
Fractional positions:
Sm1 0.0000 0.0000 0.0000  8 Zn 3.15, 4 Er 3.46
Er1 0.1077 0.6503 0.7580  4 Zn 2.93-2.99
Er2 0.3497 0.1077 0.4574  4 Zn 2.93-2.99
Er3 0.6503 0.8923 0.5426  4 Zn 2.93-2.99
Er4 0.8923 0.3497 0.2420  4 Zn 2.93-2.99
Zn1 0.3172 0.4210 0.7381  2 Zn 2.66, 2 Er 2.93-2.97
Zn2 0.4210 0.6828 0.1038  2 Zn 2.66, 2 Er 2.93-2.97
Zn3 0.5790 0.3172 0.8962  2 Zn 2.66, 2 Er 2.93-2.97
Zn4 0.6828 0.5790 0.2619  2 Zn 2.66, 2 Er 2.93-2.97

=====

6.
A plane-wave DFT calculation with GGA-PBE was carried out for an optimized crystal structure of Sm9Er4Zn11.

Output
Calculated formation energy in eV per formula unit: -5.66
Uncorrected energy in eV per atom: -3.3497

Lattice parameters (Å, degrees): 13.2617 13.2617 3.4946 90.00 90.00 109.07
Closest atoms and distances in Å follow each position.
Fractional positions:
Sm1 0.0000 0.0000 0.0000  4 Er 3.16, 4 Zn 3.33, 2 Sm 3.49
Sm2 0.1250 0.6453 0.0000  8 Zn 3.10-3.41, 1 Er 3.31
Sm3 0.2938 0.4694 0.0000  8 Zn 3.10-3.22, 1 Er 3.38
Sm4 0.3547 0.8750 0.0000  8 Zn 3.10-3.41, 1 Er 3.31
Sm5 0.4694 0.2938 0.0000  8 Zn 3.10-3.22, 1 Er 3.38
Sm6 0.5306 0.7062 0.0000  8 Zn 3.10-3.22, 1 Er 3.38
Sm7 0.6453 0.1250 0.0000  8 Zn 3.10-3.41, 1 Er 3.31
Sm8 0.7062 0.5306 0.0000  8 Zn 3.10-3.22, 1 Er 3.38
Sm9 0.8750 0.3547 0.0000  8 Zn 3.10-3.41, 1 Er 3.31
Er1 0.0720 0.2523 0.0000  6 Zn 3.03-3.17, 3 Sm 3.16-3.38
Er2 0.2523 0.0720 0.0000  6 Zn 3.03-3.17, 3 Sm 3.16-3.38
Er3 0.7477 0.9280 0.0000  6 Zn 3.03-3.17, 3 Sm 3.16-3.38
Er4 0.9280 0.7477 0.0000  6 Zn 3.03-3.17, 3 Sm 3.16-3.38
Zn1 0.0826 0.4422 0.5000  2 Er 3.03, 1 Zn 3.06, 6 Sm 3.10-3.22
Zn2 0.1315 0.8685 0.5000  4 Er 3.17, 6 Sm 3.33-3.41, 2 Zn 3.49
Zn3 0.2618 0.2618 0.5000  4 Er 3.03, 4 Sm 3.17
Zn4 0.3291 0.6709 0.5000  8 Sm 3.10-3.15
Zn5 0.4422 0.0826 0.5000  2 Er 3.03, 1 Zn 3.06, 6 Sm 3.10-3.22
Zn6 0.5000 0.5000 0.5000  8 Sm 3.16, 2 Zn 3.49
Zn7 0.5578 0.9174 0.5000  2 Er 3.03, 1 Zn 3.06, 6 Sm 3.10-3.22
Zn8 0.6709 0.3291 0.5000  8 Sm 3.10-3.15
Zn9 0.7382 0.7382 0.5000  4 Er 3.03, 4 Sm 3.17
Zn10 0.8685 0.1315 0.5000  4 Er 3.17, 6 Sm 3.33-3.41, 2 Zn 3.49
Zn11 0.9174 0.5578 0.5000  2 Er 3.03, 1 Zn 3.06, 6 Sm 3.10-3.22

=====

7.
A plane-wave DFT calculation with GGA-PBE was carried out for an optimized crystal structure of Sm2Er2Zn.

Output
Calculated formation energy in eV per formula unit: 0.04
Offset from the most stable computed form in meV/atom: 136
Uncorrected energy in eV per atom: -3.9605

Lattice parameters (Å, degrees): 12.4384 12.4384 12.4384 156.71 156.71 33.17
Closest atoms and distances in Å follow each position.
Fractional positions:
Sm1 0.0495 0.2995 0.7500  2 Zn 3.09, 1 Er 3.44, 2 Sm 3.45
Sm2 0.2995 0.0495 0.2500  2 Zn 3.09, 1 Er 3.44, 2 Sm 3.45
Sm3 0.7005 0.9505 0.7500  2 Zn 3.09, 1 Er 3.44, 2 Sm 3.45
Sm4 0.9505 0.7005 0.2500  2 Zn 3.09, 1 Er 3.44, 2 Sm 3.45
Er1 0.1936 0.4436 0.7500  2 Zn 3.00
Er2 0.4436 0.1936 0.2500  2 Zn 3.00
Er3 0.5564 0.8064 0.7500  2 Zn 3.00
Er4 0.8064 0.5564 0.2500  2 Zn 3.00
Zn1 0.1250 0.8750 0.2500  4 Er 3.00, 4 Sm 3.09
Zn2 0.8750 0.1250 0.7500  4 Er 3.00, 4 Sm 3.09

=====

8.
A plane-wave DFT calculation with GGA-PBE was carried out for an optimized crystal structure of Sm6ErZn2.

Output
Calculated formation energy in eV per formula unit: -1.23
Uncorrected energy in eV per atom: -4.0732

Lattice parameters (Å, degrees): 6.5893 6.5893 11.9417 108.84 108.84 32.42
Closest atoms and distances in Å follow each position.
Fractional positions:
Sm1 0.0271 0.0271 0.3262  2 Zn 3.10, 1 Sm 3.41
Sm2 0.3107 0.3107 0.1238  2 Zn 3.12, 3 Sm 3.38-3.39
Sm3 0.3125 0.3125 0.4087  2 Zn 3.28, 6 Sm 3.39-3.63
Sm4 0.6875 0.6875 0.5913  2 Zn 3.28, 6 Sm 3.39-3.63
Sm5 0.6893 0.6893 0.8762  2 Zn 3.12, 3 Sm 3.38-3.39
Sm6 0.9729 0.9729 0.6738  2 Zn 3.10, 1 Sm 3.41
Er1 0.0000 0.0000 0.0000  4 Zn 3.05
Zn1 0.3558 0.3558 0.8049  2 Er 3.05, 6 Sm 3.10-3.28
Zn2 0.6442 0.6442 0.1951  2 Er 3.05, 6 Sm 3.10-3.28

=====

9.
A plane-wave DFT calculation with GGA-PBE was carried out for an optimized crystal structure of Sm3Er4Zn4.

Output
Calculated formation energy in eV per formula unit: -1.55
Uncorrected energy in eV per atom: -3.5507

Lattice parameters (Å, degrees): 9.1309 9.1309 9.1309 147.85 134.18 57.07
Closest atoms and distances in Å follow each position.
Fractional positions:
Sm1 0.0000 0.0000 0.0000  6 Zn 3.04-3.39
Sm2 0.3957 0.8957 0.5000  4 Zn 3.30, 1 Sm 3.35, 4 Er 3.39
Sm3 0.6043 0.1043 0.5000  4 Zn 3.30, 1 Sm 3.35, 4 Er 3.39
Er1 0.0508 0.3221 0.7287  4 Zn 2.87-3.01
Er2 0.4066 0.6779 0.7287  4 Zn 2.87-3.01
Er3 0.5934 0.3221 0.2713  4 Zn 2.87-3.01
Er4 0.9492 0.6779 0.2713  4 Zn 2.87-3.01
Zn1 0.1893 0.1893 0.0000  6 Er 2.87-3.01, 1 Sm 3.04
Zn2 0.3177 0.5000 0.8177  1 Zn 2.59
Zn3 0.6823 0.5000 0.1823  1 Zn 2.59
Zn4 0.8107 0.8107 0.0000  6 Er 2.87-3.01, 1 Sm 3.04

=====

10.
A plane-wave DFT calculation with GGA-PBE was carried out for an optimized crystal structure of SmEr2Zn.

Output
Calculated formation energy in eV per formula unit: -0.23
Offset from the most stable computed form in meV/atom: 109
Uncorrected energy in eV per atom: -3.8369

Lattice parameters (Å, degrees): 10.4292 10.4292 10.4292 19.77 19.77 19.77
Closest atoms and distances in Å follow each position.
Fractional positions:
Sm1 0.0000 0.0000 0.0000  6 Er 3.58-3.60, 6 Sm 3.58
Er1 0.2381 0.2381 0.2381  3 Zn 2.99
Er2 0.4296 0.4296 0.4296  3 Zn 3.01
Zn1 0.8342 0.8342 0.8342  6 Er 2.99-3.01

=====

11.
A plane-wave DFT calculation with GGA-PBE was carried out for an optimized crystal structure of SmEr4Zn2.

Output
Calculated formation energy in eV per formula unit: 0.92
Uncorrected energy in eV per atom: -3.5134

Lattice parameters (Å, degrees): 10.3356 10.3356 10.3356 27.36 27.36 27.36
Closest atoms and distances in Å follow each position.
Fractional positions:
Sm1 0.0000 0.0000 0.0000  2 Zn 3.01
Er1 0.2010 0.2010 0.2010  4 Zn 2.97-2.99
Er2 0.3998 0.3998 0.3998  3 Zn 3.00
Er3 0.6002 0.6002 0.6002  3 Zn 3.00
Er4 0.7990 0.7990 0.7990  4 Zn 2.97-2.99
Zn1 0.1008 0.1008 0.1008  7 Er 2.97-3.00, 1 Sm 3.01
Zn2 0.8992 0.8992 0.8992  7 Er 2.97-3.00, 1 Sm 3.01

=====

12.
A plane-wave DFT calculation with GGA-PBE was carried out for an optimized crystal structure of Sm3ErZn2.

Output
Calculated formation energy in eV per formula unit: 0.32
Offset from the most stable computed form in meV/atom: 266
Uncorrected energy in eV per atom: -3.4914

Lattice parameters (Å, degrees): 8.7869 8.7869 8.7869 133.34 69.91 131.09
Closest atoms and distances in Å follow each position.
Fractional positions:
Sm1 0.0234 0.7500 0.2734  4 Zn 3.02-3.04
Sm2 0.2500 0.2500 0.0000  4 Zn 3.04
Sm3 0.4766 0.7500 0.7266  4 Zn 3.02-3.04
Sm4 0.5234 0.2500 0.2734  4 Zn 3.02-3.04
Sm5 0.7500 0.7500 0.0000  4 Zn 3.04
Sm6 0.9766 0.2500 0.7266  4 Zn 3.02-3.04
Er1 0.0000 0.5000 0.5000  2 Zn 2.84
Er2 0.5000 0.0000 0.5000  2 Zn 2.84
Zn1 0.1371 0.2062 0.3433  1 Er 2.84, 6 Sm 3.02-3.04
Zn2 0.3629 0.7062 0.0690  1 Er 2.84, 6 Sm 3.02-3.04
Zn3 0.6371 0.2938 0.9310  1 Er 2.84, 6 Sm 3.02-3.04
Zn4 0.8629 0.7938 0.6567  1 Er 2.84, 6 Sm 3.02-3.04